Density functional theory data (PBE) for Sm8As3Se4O after structural relaxation.

Lattice parameters (Å, degrees): 8.2027 8.2027 20.4554 90.00 90.00 120.00
Space group R-3m (No. 166, hexagonal axes)
Inequivalent atoms, fractional coordinates:
Sm1 0.0000 0.0000 0.2467
Sm2 0.0185 0.5093 0.2421
As1 0.0000 0.5000 0.5000
Se1 0.0000 0.0000 0.0000
Se2 0.0000 0.5000 0.0000
O1 0.0000 0.0000 0.5000

The density of states at the Fermi level is 0.4840 states/eV per atom. The total energy comes out at -0.2281 hartree per atom.